An optimized crystal structure of LuFeCoSi, computed with PBE.

```
4
Lattice="1.823 -1.865 3.325 -1.780 0.285 3.821 -1.788 -3.401 1.757" Properties=species:S:1:pos:R:3 pbc="T T T"
Si 0.000 0.000 0.000
Fe -0.436 -1.245 2.226
Lu -0.872 -2.490 4.452
Co -1.309 -3.736 6.677
```

Output
**Excess energy over the best structure of this formula in the dataset**: 0.00 eV per formula unit
**Symmetry**: F-43m, No. 216